The following is a DFT calculation (PBE with a Hubbard U) of an optimized crystal structure of Ba4Ta3VO12.

Cell and atoms, written as POSCAR:
```
Ba4Ta3VO12
1.0
-4.136 4.136 4.136
4.136 -4.136 4.136
4.136 4.136 -4.136
Ba Ta V O
4 3 1 12
direct
0.000 0.000 0.500
0.000 0.500 0.000
0.500 0.000 0.000
0.500 0.500 0.500
0.000 0.500 0.500
0.500 0.000 0.500
0.500 0.500 0.000
0.000 0.000 0.000
0.000 0.261 0.261
0.000 0.739 0.739
0.250 0.500 0.750
0.250 0.750 0.500
0.261 0.000 0.261
0.261 0.261 0.000
0.500 0.250 0.750
0.500 0.750 0.250
0.739 0.000 0.739
0.739 0.739 0.000
0.750 0.250 0.500
0.750 0.500 0.250
```

Calculated values
* total energy: -167.28 eV for the cell shown
* V: 283.1 Å³/cell